1.
First-principles (PBE-GGA) data for an optimized crystal structure of Sr2Tc2B, as listed in Alexandria via LeMat-Bulk.

Formation energy (eV/atom): 1.52
Distance to the lowest polymorph of the same formula (eV/f.u.): 3.784
M_tot (μB/cell): 0.0
Calculated volume (Å³ per cell): 259.5
Density of states at the Fermi level (states/eV/f.u.): 3.91

```
data_Sr2Tc2B
_chemical_formula_sum 'Sr4 Tc4 B2'
_space_group_name_H-M_alt 'P 1'
_space_group_IT_number 1
_cell_length_a 8.9309
_cell_length_b 8.9309
_cell_length_c 3.2535
_cell_angle_alpha 90.00
_cell_angle_beta 90.00
_cell_angle_gamma 90.00
loop_
_space_group_symop_operation_xyz
'x,y,z'
loop_
_atom_site_label
_atom_site_type_symbol
_atom_site_fract_x
_atom_site_fract_y
_atom_site_fract_z
_atom_site_occupancy
Sr1 Sr 0.2003 0.2997 0.0000 1
Sr2 Sr 0.2997 0.7997 0.0000 1
Sr3 Sr 0.7003 0.2003 0.0000 1
Sr4 Sr 0.7997 0.7003 0.0000 1
Tc1 Tc 0.0839 0.5839 0.5000 1
Tc2 Tc 0.4161 0.0839 0.5000 1
Tc3 Tc 0.5839 0.9161 0.5000 1
Tc4 Tc 0.9161 0.4161 0.5000 1
B1 B 0.0000 0.0000 0.0000 1
B2 B 0.5000 0.5000 0.0000 1
```

---

2.
First-principles (PBE-GGA) data for an optimized crystal structure of Sr2TcB10, as listed in Alexandria via LeMat-Bulk.

Formation energy (eV/atom): -0.23
M_tot (μB/cell): 3.6
Calculated volume (Å³ per cell): 292.5
Density of states at the Fermi level (states/eV/f.u.): 4.70

```
data_Sr2TcB10
_chemical_formula_sum 'Sr4 Tc2 B20'
_space_group_name_H-M_alt 'P 1'
_space_group_IT_number 1
_cell_length_a 5.8596
_cell_length_b 11.7367
_cell_length_c 4.2531
_cell_angle_alpha 90.00
_cell_angle_beta 90.00
_cell_angle_gamma 90.00
loop_
_space_group_symop_operation_xyz
'x,y,z'
loop_
_atom_site_label
_atom_site_type_symbol
_atom_site_fract_x
_atom_site_fract_y
_atom_site_fract_z
_atom_site_occupancy
Sr1 Sr 0.1985 0.1392 0.0000 1
Sr2 Sr 0.3015 0.6392 0.0000 1
Sr3 Sr 0.6985 0.3608 0.0000 1
Sr4 Sr 0.8015 0.8608 0.0000 1
Tc1 Tc 0.0000 0.5000 0.5000 1
Tc2 Tc 0.5000 0.0000 0.5000 1
B1 B 0.0583 0.3073 0.5000 1
B2 B 0.1179 0.9552 0.5000 1
B3 B 0.1383 0.8028 0.5000 1
B4 B 0.2192 0.3809 0.2008 1
B5 B 0.2192 0.3809 0.7992 1
B6 B 0.2808 0.8809 0.2008 1
B7 B 0.2808 0.8809 0.7992 1
B8 B 0.3617 0.3028 0.5000 1
B9 B 0.3821 0.4552 0.5000 1
B10 B 0.4417 0.8073 0.5000 1
B11 B 0.5583 0.1927 0.5000 1
B12 B 0.6179 0.5448 0.5000 1
B13 B 0.6383 0.6972 0.5000 1
B14 B 0.7192 0.1191 0.2008 1
B15 B 0.7192 0.1191 0.7992 1
B16 B 0.7808 0.6191 0.2008 1
B17 B 0.7808 0.6191 0.7992 1
B18 B 0.8617 0.1972 0.5000 1
B19 B 0.8821 0.0448 0.5000 1
B20 B 0.9417 0.6927 0.5000 1
```